A geometry-optimized Nd2DyUP4 structure, computed with PBE-GGA.

Its crystal system is monoclinic. As for the total energy: -7.30 eV per atom.

The structure belongs to space group P2/m (No. 10); the cell edges are 7.021, 4.049 and 7.051 Å and the angles 90.00°, 109.16° and 90.00°. The asymmetric unit holds Nd at (0.000, 0.000, 0.000), Nd at (0.500, 0.500, 0.000), Dy at (0.000, 0.500, 0.500), U at (0.500, 0.000, 0.500), P at (0.252, 0.000, 0.735) and P at (0.260, 0.500, 0.266).

---

A geometry-optimized PrErScAl structure, computed with PBE-GGA.

Its crystal system is cubic. As for the total energy: -4.95 eV per atom.

The structure belongs to space group F-43m (No. 216); the cell edges are 7.490, 7.490 and 7.490 Å and the angles 90.00°, 90.00° and 90.00°. The asymmetric unit holds Pr at (0.000, 0.000, 0.000), Er at (0.000, 0.000, 0.500), Sc at (0.250, 0.250, 0.250) and Al at (0.250, 0.250, 0.750).

---

A geometry-optimized ThScTcHg structure, computed with PBE-GGA.

Its crystal system is cubic. The energy above the most stable polymorph in this dataset comes out at 172.1 meV/atom.

The structure belongs to space group F-43m (No. 216); the cell edges are 7.117, 7.117 and 7.117 Å and the angles 90.00°, 90.00° and 90.00°. The asymmetric unit holds Th at (0.000, 0.000, 0.000), Sc at (0.000, 0.000, 0.500), Tc at (0.250, 0.250, 0.750) and Hg at (0.250, 0.250, 0.250).